# 1
! CaBeHg (PBEsol, relaxed); values from VASP
&SYSTEM
  ibrav = 0, nat = 3, ntyp = 3
/
ATOMIC_SPECIES
Ca 40.08 Ca.upf
Hg 200.59 Hg.upf
Be 9.01 Be.upf
ATOMIC_POSITIONS crystal
Ca 0.0000 0.0000 0.0000
Hg 0.5000 0.5000 0.5000
Be 0.7500 0.7500 0.7500
CELL_PARAMETERS angstrom
4.5190 0.0000 0.0000
2.2595 3.9135 0.0000
2.2595 1.3045 3.6897
! magnetization = 0.000 μB per atom
! Fermi-level density of states = 3.11 states/eV/cell
! calculated formation energy = 112 meV per atom
! space-group type = F-43m
! electronic total energy = -2.122 eV per atom



# 2
! Ca2BeHg (PBEsol, relaxed); values from VASP
&SYSTEM
  ibrav = 0, nat = 4, ntyp = 3
/
ATOMIC_SPECIES
Ca 40.08 Ca.upf
Be 9.01 Be.upf
Hg 200.59 Hg.upf
ATOMIC_POSITIONS crystal
Ca 0.0000 0.0000 0.0000
Be 0.5000 0.5000 0.5000
Hg 0.7500 0.7500 0.7500
Ca 0.2500 0.2500 0.2500
CELL_PARAMETERS angstrom
4.8963 0.0000 0.0000
2.4481 4.2403 0.0000
2.4481 1.4134 3.9978
! magnetization = 0.000 μB per atom
! Fermi-level density of states = 0.23 states/eV/cell
! calculated formation energy = 2 meV per atom
! space-group type = F-43m
! electronic total energy = -2.206 eV per atom



# 3
! CaBe2Hg (PBEsol, relaxed); values from VASP
&SYSTEM
  ibrav = 0, nat = 4, ntyp = 3
/
ATOMIC_SPECIES
Be 9.01 Be.upf
Ca 40.08 Ca.upf
Hg 200.59 Hg.upf
ATOMIC_POSITIONS crystal
Be 0.6880 0.6880 0.9361
Ca 0.4995 0.4995 0.5014
Hg 0.3054 0.3054 0.0837
Be 0.0071 0.0071 0.9786
CELL_PARAMETERS angstrom
4.0746 0.0000 0.0000
2.0373 3.5287 0.0000
2.0373 1.1762 5.1894
! magnetization = 0.000 μB per atom
! Fermi-level density of states = 2.06 states/eV/cell
! calculated formation energy = 5 meV per atom
! space-group type = R3m
! electronic total energy = -2.670 eV per atom



# 4
! CaBeI3 (PBEsol, relaxed); values from VASP
&SYSTEM
  ibrav = 0, nat = 5, ntyp = 3
/
ATOMIC_SPECIES
I 126.90 I.upf
Be 9.01 Be.upf
Ca 40.08 Ca.upf
ATOMIC_POSITIONS crystal
I 0.0000 0.0000 0.5000
I 0.0000 0.5000 0.0000
Be 0.0000 0.0000 0.0000
Ca 0.5000 0.5000 0.5000
I 0.5000 0.0000 0.0000
CELL_PARAMETERS angstrom
5.2614 0.0000 0.0000
0.0000 5.2614 0.0000
0.0000 0.0000 5.2614
! magnetization = 0.000 μB per atom
! Fermi-level density of states = 1.21 states/eV/cell
! ΔE_f (raw) = -0.53 eV/atom
! space-group type = Pm-3m
! electronic total energy = -2.819 eV per atom



# 5
! Ca2BeI (PBEsol, relaxed); values from VASP
&SYSTEM
  ibrav = 0, nat = 4, ntyp = 3
/
ATOMIC_SPECIES
Be 9.01 Be.upf
Ca 40.08 Ca.upf
I 126.90 I.upf
ATOMIC_POSITIONS crystal
Be 0.0000 0.0000 0.0000
Ca 0.7500 0.7500 0.7500
Ca 0.2500 0.2500 0.2500
I 0.5000 0.5000 0.5000
CELL_PARAMETERS angstrom
-3.8153 -3.6789 -0.4598
-1.6182 -2.7041 4.2862
-4.8260 0.9023 2.0488
! magnetization = 0.000 μB per atom
! Fermi-level density of states = 4.81 states/eV/cell
! ΔE_f (raw) = -0.01 eV/atom
! space-group type = Fm-3m
! electronic total energy = -2.522 eV per atom



# 6
! CaBe3I (PBEsol, relaxed); values from VASP
&SYSTEM
  ibrav = 0, nat = 5, ntyp = 3
/
ATOMIC_SPECIES
Be 9.01 Be.upf
I 126.90 I.upf
Ca 40.08 Ca.upf
ATOMIC_POSITIONS crystal
Be 0.0000 0.0000 0.5000
I 0.0000 0.0000 0.0000
Be 0.0000 0.5000 0.0000
Ca 0.5000 0.5000 0.5000
Be 0.5000 0.0000 0.0000
CELL_PARAMETERS angstrom
-1.9280 2.4263 -3.7574
-4.4582 -0.7126 1.8274
0.3605 4.1627 2.5029
! magnetization = 0.000 μB per atom
! Fermi-level density of states = 3.17 states/eV/cell
! ΔE_f (raw) = 1.29 eV/atom
! space-group type = Pm-3m
! electronic total energy = -1.890 eV per atom



Q: Look up the magnetization of the first one.
A: 0.000 μB per atom



Q: Which formula does entry 4 have?
A: CaBeI3